First-principles (PBE-GGA) data for crystalline UTi3Tl3Te8 at its relaxed geometry, as listed in Alexandria.

Calculated values
M_tot = 5.024 μB/cell
E_form (uncorrected) = -559 meV per atom
DOS at the Fermi energy = 10.4 states/eV per cell

a = 8.1540 Å, b = 8.1531 Å, c = 9.5169 Å
α = 115.38°, β = 90.00°, γ = 120.00°
Element x y z (fractional)
Ti  0.0000  0.5000  0.5000
Ti  0.5000  0.5000  0.5000
Ti  0.5000  0.0000  0.5000
Te  0.2462  0.4925  0.7073
Te  0.7538  0.0389  0.2927
Te  0.2685  0.5370  0.3057
Te  0.7149  0.9611  0.7073
Te  0.7315  0.4630  0.6943
Te  0.2462  0.9611  0.7073
Te  0.7538  0.5075  0.2927
Te  0.2851  0.0389  0.2927
Tl  0.0000  0.5000  0.0000
Tl  0.5000  0.5000  0.0000
Tl  0.0000  0.0000  0.0000
U  0.0000  0.0000  0.5000